## TiV2Os (PBE-GGA)

Data for an optimized crystal structure of TiV2Os.

Properties
Energy relative to the elements: -0.3724 eV per atom
Size of the total moment: 0.00 μB per formula unit
Total DFT energy (no corrections): -9.713 eV/atom

abc: 3.0310 4.2286 8.8823
angles: 90.00 90.00 90.00
Last column: nearest neighbours and their distance in Å.
Space group Immm (No. 71)
Symmetry-distinct sites (fractional):
1 Ti 0.0000 0.0000 0.0000 (multiplicity 2)  4 Os 2.60, 4 V 2.75
2 V 0.0000 0.5000 0.2423 (multiplicity 4)  4 V 2.60, 2 Os 2.63, 2 Ti 2.75
3 Os 0.0000 0.0000 0.5000 (multiplicity 2)  4 Ti 2.60, 4 V 2.63